1.
First-principles (GGA-PBEsol) data for a geometry-optimized La2NCl3 structure, as listed in Alexandria.

a = 6.053 Å, b = 6.822 Å, c = 8.231 Å
α = 114.48°, β = 111.58°, γ = 90.00°
Fractional coordinates of all 12 atoms:
La  0.405  0.726  0.810
La  0.595  0.274  0.190
La  0.095  0.916  0.190
La  0.905  0.084  0.810
N  0.750  0.000  0.000
N  0.250  0.000  0.000
Cl  0.750  0.500  0.000
Cl  0.250  0.500  0.000
Cl  0.196  0.387  0.392
Cl  0.804  0.613  0.608
Cl  0.304  0.996  0.608
Cl  0.696  0.004  0.392

electronic total energy = -6.46 eV/atom
symmetry = Ibam, No. 72
total moment = 0.00 μB per formula unit

---

2.
First-principles (GGA-PBEsol) data for a geometry-optimized Na2LaCl structure, as listed in Alexandria.

a = 5.560 Å, b = 5.560 Å, c = 5.560 Å
α = 60.00°, β = 60.00°, γ = 60.00°
Fractional coordinates of all 4 atoms:
Na  0.250  0.250  0.250
Na  0.750  0.750  0.750
Cl  0.000  0.000  0.000
La  0.500  0.500  0.500

electronic total energy = -2.48 eV/atom
symmetry = Fm-3m, No. 225
total moment = 0.10 μB per formula unit

---

3.
First-principles (GGA-PBEsol) data for a geometry-optimized Na3La5Cl18 structure, as listed in Alexandria.

a = 7.540 Å, b = 7.540 Å, c = 12.839 Å
α = 90.00°, β = 90.00°, γ = 120.00°
Fractional coordinates of all 26 atoms:
Na  0.000  0.000  0.500
Na  0.333  0.667  0.728
Na  0.333  0.667  0.272
La  0.000  0.000  0.169
La  0.000  0.000  0.831
La  0.667  0.333  0.659
La  0.667  0.333  0.000
La  0.667  0.333  0.341
Cl  0.025  0.274  0.000
Cl  0.027  0.280  0.673
Cl  0.027  0.280  0.327
Cl  0.249  0.975  0.000
Cl  0.253  0.973  0.673
Cl  0.253  0.973  0.327
Cl  0.947  0.580  0.165
Cl  0.947  0.580  0.835
Cl  0.945  0.573  0.500
Cl  0.726  0.751  0.000
Cl  0.720  0.747  0.673
Cl  0.720  0.747  0.327
Cl  0.420  0.367  0.165
Cl  0.420  0.367  0.835
Cl  0.427  0.372  0.500
Cl  0.633  0.053  0.165
Cl  0.633  0.053  0.835
Cl  0.628  0.055  0.500

electronic total energy = -4.86 eV/atom
symmetry = P-6, No. 174
total moment = 0.00 μB per formula unit

---

4.
First-principles (GGA-PBEsol) data for a geometry-optimized NaLa2ClO structure, as listed in Alexandria.

a = 4.726 Å, b = 4.726 Å, c = 6.283 Å
α = 90.00°, β = 90.00°, γ = 90.00°
Fractional coordinates of all 5 atoms:
Na  0.500  0.500  0.500
Cl  0.000  0.000  0.500
O  0.000  0.000  0.000
La  0.000  0.500  0.000
La  0.500  0.000  0.000

electronic total energy = -5.20 eV/atom
symmetry = P4/mmm, No. 123
total moment = 0.00 μB per formula unit

---

5.
First-principles (GGA-PBEsol) data for a geometry-optimized Na2LaPbCl structure, as listed in Alexandria.

a = 4.986 Å, b = 4.986 Å, c = 5.731 Å
α = 90.00°, β = 90.00°, γ = 90.00°
Fractional coordinates of all 5 atoms:
Pb  0.500  0.500  0.500
Na  0.000  0.500  0.000
Na  0.500  0.000  0.000
Cl  0.000  0.000  0.000
La  0.000  0.000  0.500

electronic total energy = -3.57 eV/atom
symmetry = P4/mmm, No. 123
total moment = 0.00 μB per formula unit

---

6.
First-principles (GGA-PBEsol) data for a geometry-optimized Rb2NaLaCl6 structure, as listed in Alexandria.

a = 7.668 Å, b = 7.668 Å, c = 7.668 Å
α = 60.00°, β = 60.00°, γ = 60.00°
Fractional coordinates of all 10 atoms:
Na  0.500  0.500  0.500
Cl  0.748  0.252  0.252
Cl  0.252  0.748  0.252
Cl  0.252  0.748  0.748
Cl  0.748  0.252  0.748
Cl  0.252  0.252  0.748
Cl  0.748  0.748  0.252
Rb  0.250  0.250  0.250
Rb  0.750  0.750  0.750
La  0.000  0.000  0.000

electronic total energy = -4.16 eV/atom
symmetry = Fm-3m, No. 225
total moment = 0.00 μB per formula unit

---

7.
First-principles (GGA-PBEsol) data for a geometry-optimized NaLaSCl2 structure, as listed in Alexandria.

a = 4.674 Å, b = 4.674 Å, c = 5.187 Å
α = 90.00°, β = 90.00°, γ = 90.00°
Fractional coordinates of all 5 atoms:
Na  0.000  0.000  0.000
S  0.000  0.000  0.500
Cl  0.000  0.500  0.000
Cl  0.500  0.000  0.000
La  0.500  0.500  0.500

electronic total energy = -4.48 eV/atom
symmetry = P4/mmm, No. 123
total moment = 0.00 μB per formula unit

---

8.
First-principles (GGA-PBEsol) data for a geometry-optimized LaNbCl2 structure, as listed in Alexandria.

a = 4.705 Å, b = 4.705 Å, c = 9.052 Å
α = 105.06°, β = 105.06°, γ = 90.00°
Fractional coordinates of all 8 atoms:
Nb  0.750  0.250  0.500
Nb  0.500  0.500  0.000
Cl  0.424  0.875  0.250
Cl  0.826  0.375  0.250
Cl  0.125  0.174  0.750
Cl  0.625  0.576  0.750
La  0.250  0.750  0.500
La  0.000  0.000  0.000

electronic total energy = -5.61 eV/atom
symmetry = I-42d, No. 122
total moment = 1.11 μB per formula unit

---

9.
First-principles (GGA-PBEsol) data for a geometry-optimized La3NbCl structure, as listed in Alexandria.

a = 5.578 Å, b = 5.578 Å, c = 5.578 Å
α = 90.00°, β = 90.00°, γ = 90.00°
Fractional coordinates of all 5 atoms:
Nb  0.000  0.000  0.000
Cl  0.500  0.500  0.500
La  0.000  0.500  0.000
La  0.000  0.000  0.500
La  0.500  0.000  0.000

electronic total energy = -5.65 eV/atom
symmetry = Pm-3m, No. 221
total moment = 0.00 μB per formula unit

---

10.
First-principles (GGA-PBEsol) data for a geometry-optimized LaNb2ClO6 structure, as listed in Alexandria.

a = 7.334 Å, b = 8.323 Å, c = 9.853 Å
α = 90.00°, β = 90.00°, γ = 90.00°
Fractional coordinates of all 40 atoms:
La  0.750  0.309  0.323
La  0.250  0.691  0.677
La  0.250  0.809  0.177
La  0.750  0.191  0.823
Nb  0.500  0.000  0.500
Nb  0.750  0.731  0.736
Nb  0.250  0.231  0.764
Nb  0.750  0.769  0.236
Nb  0.250  0.269  0.264
Nb  0.000  0.500  0.000
Nb  0.500  0.500  0.000
Nb  0.000  0.000  0.500
Cl  0.750  0.072  0.106
Cl  0.750  0.428  0.606
Cl  0.250  0.928  0.894
Cl  0.250  0.572  0.394
O  0.444  0.201  0.397
O  0.455  0.115  0.675
O  0.944  0.701  0.103
O  0.750  0.418  0.001
O  0.250  0.084  0.170
O  0.444  0.299  0.897
O  0.056  0.201  0.397
O  0.250  0.582  0.999
O  0.455  0.385  0.175
O  0.750  0.082  0.501
O  0.556  0.701  0.103
O  0.045  0.385  0.175
O  0.250  0.918  0.499
O  0.545  0.615  0.825
O  0.955  0.615  0.825
O  0.056  0.299  0.897
O  0.250  0.416  0.670
O  0.944  0.799  0.603
O  0.750  0.584  0.330
O  0.750  0.916  0.830
O  0.955  0.885  0.325
O  0.556  0.799  0.603
O  0.045  0.115  0.675
O  0.545  0.885  0.325

electronic total energy = -8.77 eV/atom
symmetry = Pnma, No. 62
total moment = 0.00 μB per formula unit

---

11.
First-principles (GGA-PBEsol) data for a geometry-optimized Rb2LaNb2ClO7 structure, as listed in Alexandria.

a = 3.891 Å, b = 3.891 Å, c = 15.011 Å
α = 90.00°, β = 90.00°, γ = 90.00°
Fractional coordinates of all 13 atoms:
Rb  0.500  0.500  0.369
Rb  0.500  0.500  0.631
La  0.500  0.500  0.000
Nb  0.000  0.000  0.151
Nb  0.000  0.000  0.849
Cl  0.000  0.000  0.500
O  0.000  0.500  0.122
O  0.000  0.500  0.878
O  0.500  0.000  0.122
O  0.500  0.000  0.878
O  0.000  0.000  0.271
O  0.000  0.000  0.729
O  0.000  0.000  0.000

electronic total energy = -7.84 eV/atom
symmetry = P4/mmm, No. 123
total moment = 0.00 μB per formula unit

---

12.
First-principles (GGA-PBEsol) data for a geometry-optimized LaNbSCl2 structure, as listed in Alexandria.

a = 4.811 Å, b = 4.761 Å, c = 4.761 Å
α = 90.00°, β = 90.00°, γ = 90.00°
Fractional coordinates of all 5 atoms:
Nb  0.000  0.000  0.000
Cl  0.000  0.000  0.500
Cl  0.000  0.500  0.000
S  0.500  0.000  0.000
La  0.500  0.500  0.500

electronic total energy = -5.87 eV/atom
symmetry = P4/mmm, No. 123
total moment = 0.00 μB per formula unit